# Y2AgIr (GGA-PBEsol, optimized geometry)
data_Y2AgIr
_cell_length_a 3.452
_cell_length_b 3.452
_cell_length_c 7.103
_cell_angle_alpha 90.00
_cell_angle_beta 90.00
_cell_angle_gamma 90.00
_symmetry_space_group_name_H-M 'P 4/m m m'
_symmetry_Int_Tables_number 123
_symmetry_space_group_name_Hall '-P 4 2'
loop_
_atom_site_label
_atom_site_fract_x
_atom_site_fract_y
_atom_site_fract_z
Y1 0.000 0.000 0.230
Ag1 0.500 0.500 0.500
Ir1 0.500 0.500 0.000
# E_form	-0.5847	eV per atom
# N(E_F)	2.6	states/eV per cell
# electronic total energy	-7.28	eV/atom

=====

# Y2AgIr (GGA-PBEsol, optimized geometry)
data_Y2AgIr
_cell_length_a 6.775
_cell_length_b 6.775
_cell_length_c 6.775
_cell_angle_alpha 90.00
_cell_angle_beta 90.00
_cell_angle_gamma 90.00
_symmetry_space_group_name_H-M 'F -4 3 m'
_symmetry_Int_Tables_number 216
_symmetry_space_group_name_Hall 'F -4 2 3'
loop_
_atom_site_label
_atom_site_fract_x
_atom_site_fract_y
_atom_site_fract_z
Y1 0.000 0.000 0.000
Y2 0.250 0.250 0.250
Ag1 0.250 0.250 0.750
Ir1 0.000 0.000 0.500
# E_form	-0.2477	eV per atom
# N(E_F)	13.9	states/eV per cell
# electronic total energy	-6.94	eV/atom

=====

# ZnAg2Ir (GGA-PBEsol, optimized geometry)
data_ZnAg2Ir
_cell_length_a 2.797
_cell_length_b 3.756
_cell_length_c 5.760
_cell_angle_alpha 90.00
_cell_angle_beta 90.00
_cell_angle_gamma 90.00
_symmetry_space_group_name_H-M 'P m m 2'
_symmetry_Int_Tables_number 25
_symmetry_space_group_name_Hall 'P 2 -2'
loop_
_atom_site_label
_atom_site_fract_x
_atom_site_fract_y
_atom_site_fract_z
Zn1 0.000 0.000 0.000
Ag1 0.000 0.000 0.529
Ag2 0.500 0.500 0.271
Ir1 0.500 0.500 0.794
# E_form	0.1206	eV per atom
# N(E_F)	2.8	states/eV per cell
# electronic total energy	-4.39	eV/atom

=====

# Zn3AgIr (GGA-PBEsol, optimized geometry)
data_Zn3AgIr
_cell_length_a 4.555
_cell_length_b 4.555
_cell_length_c 4.555
_cell_angle_alpha 90.00
_cell_angle_beta 90.00
_cell_angle_gamma 90.00
_symmetry_space_group_name_H-M 'P m -3 m'
_symmetry_Int_Tables_number 221
_symmetry_space_group_name_Hall '-P 4 2 3'
loop_
_atom_site_label
_atom_site_fract_x
_atom_site_fract_y
_atom_site_fract_z
Zn1 0.000 0.000 0.500
Ag1 0.000 0.000 0.000
Ir1 0.500 0.500 0.500
# E_form	1.1575	eV per atom
# N(E_F)	2.9	states/eV per cell
# electronic total energy	-2.42	eV/atom

=====

# Zr2AgIr (GGA-PBEsol, optimized geometry)
data_Zr2AgIr
_cell_length_a 3.039
_cell_length_b 3.280
_cell_length_c 7.358
_cell_angle_alpha 90.00
_cell_angle_beta 90.00
_cell_angle_gamma 90.00
_symmetry_space_group_name_H-M 'P m m m'
_symmetry_Int_Tables_number 47
_symmetry_space_group_name_Hall '-P 2 2'
loop_
_atom_site_label
_atom_site_fract_x
_atom_site_fract_y
_atom_site_fract_z
Zr1 0.000 0.000 0.231
Ag1 0.500 0.500 0.500
Ir1 0.500 0.500 0.000
# E_form	-0.4279	eV per atom
# N(E_F)	3.7	states/eV per cell
# electronic total energy	-8.26	eV/atom

=====

# KAg2 (GGA-PBEsol, optimized geometry)
data_KAg2
_cell_length_a 5.323
_cell_length_b 5.323
_cell_length_c 11.208
_cell_angle_alpha 90.00
_cell_angle_beta 90.00
_cell_angle_gamma 90.00
_symmetry_space_group_name_H-M 'I 4/m c m'
_symmetry_Int_Tables_number 140
_symmetry_space_group_name_Hall '-I 4 2c'
loop_
_atom_site_label
_atom_site_fract_x
_atom_site_fract_y
_atom_site_fract_z
K1 0.000 0.000 0.250
Ag1 0.182 0.318 0.000
# E_form	0.0888	eV per atom
# N(E_F)	2.9	states/eV per cell
# electronic total energy	-2.50	eV/atom

=====

# KAg (GGA-PBEsol, optimized geometry)
data_KAg
_cell_length_a 11.960
_cell_length_b 11.078
_cell_length_c 5.754
_cell_angle_alpha 90.00
_cell_angle_beta 90.00
_cell_angle_gamma 90.00
_symmetry_space_group_name_H-M 'P b c m'
_symmetry_Int_Tables_number 57
_symmetry_space_group_name_Hall '-P 2c 2b'
loop_
_atom_site_label
_atom_site_fract_x
_atom_site_fract_y
_atom_site_fract_z
K1 0.111 0.018 0.250
K2 0.292 0.614 0.250
K3 0.388 0.250 0.000
Ag1 0.055 0.750 0.000
Ag2 0.135 0.195 0.750
Ag3 0.463 0.520 0.750
# E_form	0.1777	eV per atom
# N(E_F)	7.4	states/eV per cell
# distance to the lowest polymorph of the same formula	0.086	eV/atom
# electronic total energy	-2.04	eV/atom

=====

# KAg2 (GGA-PBEsol, optimized geometry)
data_KAg2
_cell_length_a 2.992
_cell_length_b 4.388
_cell_length_c 11.313
_cell_angle_alpha 90.00
_cell_angle_beta 90.00
_cell_angle_gamma 90.00
_symmetry_space_group_name_H-M 'I m m m'
_symmetry_Int_Tables_number 71
_symmetry_space_group_name_Hall '-I 2 2'
loop_
_atom_site_label
_atom_site_fract_x
_atom_site_fract_y
_atom_site_fract_z
K1 0.000 0.000 0.000
Ag1 0.000 0.000 0.284
# E_form	0.1339	eV per atom
# N(E_F)	1.6	states/eV per cell
# electronic total energy	-2.45	eV/atom

=====

- Among the records above, which one has the highest electronic total energy?
  KAg